# 1
5
Lattice="4.647 0.000 0.000 0.000 4.647 0.000 0.000 0.000 4.647" Properties=species:S:1:pos:R:3 comment="NaNb3Sb (GGA-PBEsol, relaxed)" formation_energy_uncorrected_kj_per_mol_atoms=176 pbc="T T T"
Na 0.000 0.000 0.000
Nb 0.000 0.000 2.323
Nb 0.000 2.323 0.000
Nb 2.323 0.000 0.000
Sb 2.323 2.323 2.323



# 2
4
Lattice="0.000 3.514 3.514 3.514 0.000 3.514 3.514 3.514 0.000" Properties=species:S:1:pos:R:3 comment="NaNbSb2 (GGA-PBEsol, relaxed)" formation_energy_uncorrected_kj_per_mol_atoms=7 pbc="T T T"
Na 0.000 0.000 0.000
Nb 3.514 3.514 3.514
Sb 1.757 1.757 1.757
Sb 5.271 5.271 5.271



# 3
5
Lattice="5.152 0.000 0.000 0.000 5.152 0.000 0.000 0.000 5.268" Properties=species:S:1:pos:R:3 comment="NaNbSb2Te (GGA-PBEsol, relaxed)" formation_energy_uncorrected_kj_per_mol_atoms=119 pbc="T T T"
Na 0.000 0.000 0.000
Nb 2.576 2.576 2.634
Sb 0.000 2.576 0.000
Sb 2.576 0.000 0.000
Te 0.000 0.000 2.634



# 4
5
Lattice="4.888 0.000 0.000 0.000 4.888 0.000 0.000 0.000 4.888" Properties=species:S:1:pos:R:3 comment="NaSc3Nb (GGA-PBEsol, relaxed)" formation_enthalpy_0k_mev_per_atom=1368 pbc="T T T"
Na 0.000 0.000 0.000
Sc 0.000 0.000 2.444
Sc 0.000 2.444 0.000
Sc 2.444 0.000 0.000
Nb 2.444 2.444 2.444



# 5
5
Lattice="5.308 0.000 0.000 0.000 5.308 0.000 0.000 0.000 5.344" Properties=species:S:1:pos:R:3 comment="Na2ScNbSn (GGA-PBEsol, relaxed)" formation_enthalpy_0k_mev_per_atom=1148 pbc="T T T"
Na 0.000 2.654 0.000
Na 2.654 0.000 0.000
Sc 0.000 0.000 2.672
Nb 2.654 2.654 0.000
Sn 2.654 2.654 2.672



# 6
15
Lattice="9.945 0.000 0.000 -4.972 8.612 0.000 0.000 0.000 3.487" Properties=species:S:1:pos:R:3 comment="NaNb6Se8 (GGA-PBEsol, relaxed)" formation_energy_uncorrected_kj_per_mol_atoms=-88 pbc="T T T"
Na 0.000 0.000 0.000
Nb -2.007 5.337 0.869
Nb 1.354 4.206 0.869
Nb 4.319 0.930 2.618
Nb 0.653 7.683 0.869
Nb 3.618 4.407 2.618
Nb 6.980 3.276 2.618
Se -1.088 2.893 0.878
Se -1.923 8.108 0.878
Se 0.000 5.742 2.613
Se 1.961 2.389 2.609
Se 3.011 6.224 0.878
Se 4.972 2.871 0.874
Se 6.896 0.504 2.609
Se 6.060 5.720 2.609